Entry 1:
An optimized crystal structure of CaFe2Co. Source: Alexandria via LeMat-Bulk, functional PBE.

Results
Total magnetic moment ... 1.54 μB/atom
DFT formation energy ... 0.5159 eV/atom

Unit cell a=4.393 b=4.393 c=6.163 alpha=90.00 beta=90.00 gamma=90.00
Space group I-4m2 (No. 119)
Symmetry-distinct sites (fractional):
Ca 0.000 0.000 0.000 x2
Fe 0.000 0.000 0.500 x2
Fe 0.000 0.500 0.750 x2
Co 0.000 0.500 0.250 x2


Entry 2:
An optimized crystal structure of Ca2FeCo. Source: Alexandria via LeMat-Bulk, functional PBE.

Results
Total magnetic moment ... 0.86 μB/atom
DFT formation energy ... 0.5912 eV/atom
ΔE to the lowest computed polymorph ... 33.9 kJ/mol of atoms

Unit cell a=6.475 b=7.243 c=3.618 alpha=90.00 beta=90.00 gamma=90.00
Space group Cmmm (No. 65)
Symmetry-distinct sites (fractional):
Ca 0.250 0.250 0.000 x4
Fe 0.000 0.000 0.500 x2
Co 0.000 0.500 0.500 x2


Entry 3:
An optimized crystal structure of CaFe2Co. Source: Alexandria via LeMat-Bulk, functional PBE.

Results
Total magnetic moment ... 0.07 μB/atom
DFT formation energy ... 0.8245 eV/atom

Unit cell a=4.335 b=4.335 c=15.607 alpha=90.00 beta=90.00 gamma=90.00
Space group I-42d (No. 122)
Symmetry-distinct sites (fractional):
Ca 0.000 0.000 0.000 x4
Fe 0.016 0.250 0.625 x8
Co 0.000 0.000 0.500 x4


Please write out number 1 again, unchanged.
An optimized crystal structure of CaFe2Co. Source: Alexandria via LeMat-Bulk, functional PBE.

Results
Total magnetic moment ... 1.54 μB/atom
DFT formation energy ... 0.5159 eV/atom

Unit cell a=4.393 b=4.393 c=6.163 alpha=90.00 beta=90.00 gamma=90.00
Space group I-4m2 (No. 119)
Symmetry-distinct sites (fractional):
Ca 0.000 0.000 0.000 x2
Fe 0.000 0.000 0.500 x2
Fe 0.000 0.500 0.750 x2
Co 0.000 0.500 0.250 x2


- Look up the DFT formation energy of the first one.
  0.5159 eV/atom


- Look up the DFT formation energy of the first one.
  0.5159 eV/atom


- Which formula does entry 3 have?
  CaFe2Co